ReSn2MoPd: optimized geometry, GGA-PBE. Values from VASP.

```
&SYSTEM
  ibrav = 0, nat = 5, ntyp = 4
/
ATOMIC_SPECIES
Re 186.21 Re.upf
Mo 95.94 Mo.upf
Sn 118.71 Sn.upf
Pd 106.42 Pd.upf
ATOMIC_POSITIONS crystal
Re 0.000 0.500 0.000
Mo 0.500 0.500 0.500
Sn 0.000 0.000 0.500
Sn 0.500 0.000 0.000
Pd 0.000 0.000 0.000
CELL_PARAMETERS angstrom
-4.940 0.207 -0.154
-0.239 -2.667 4.089
0.089 4.140 2.705
```

- DFT total energy (eV/atom) = -5.64
- symmetry = No. 123
- calculated formation energy (kJ/mol of atoms) = 160



NdY2Th: optimized geometry, GGA-PBE. Values from VASP.

```
&SYSTEM
  ibrav = 0, nat = 8, ntyp = 3
/
ATOMIC_SPECIES
Nd 144.24 Nd.upf
Y 88.91 Y.upf
Th 232.04 Th.upf
ATOMIC_POSITIONS crystal
Nd 0.250 0.218 0.435
Nd 0.750 0.782 0.565
Y 0.750 0.654 0.308
Y 0.250 0.346 0.692
Y 0.750 0.910 0.821
Y 0.250 0.090 0.179
Th 0.250 0.471 0.942
Th 0.750 0.529 0.058
CELL_PARAMETERS angstrom
-2.972 -2.661 -3.760
2.833 -1.871 -0.915
-4.739 -8.720 9.917
```

- DFT total energy (eV/atom) = -6.21
- symmetry = No. 63
- excess energy over the best structure of this formula in the dataset (eV/f.u.) = 0.30
- calculated formation energy (kJ/mol of atoms) = 7



BeNi2W: optimized geometry, GGA-PBE. Values from VASP.

```
&SYSTEM
  ibrav = 0, nat = 4, ntyp = 3
/
ATOMIC_SPECIES
Ni 58.69 Ni.upf
W 183.84 W.upf
Be 9.01 Be.upf
ATOMIC_POSITIONS crystal
Ni 0.000 0.000 0.000
Ni 0.000 0.500 0.500
W 0.500 0.500 0.000
Be 0.500 0.000 0.500
CELL_PARAMETERS angstrom
-2.429 -1.554 2.401
2.285 -2.612 0.621
1.414 1.864 2.637
```

- DFT total energy (eV/atom) = -6.93
- symmetry = No. 123
- calculated formation energy (kJ/mol of atoms) = 13



HoTm5Al6: optimized geometry, GGA-PBE. Values from VASP.

```
&SYSTEM
  ibrav = 0, nat = 12, ntyp = 3
/
ATOMIC_SPECIES
Tm 168.93 Tm.upf
Ho 164.93 Ho.upf
Al 26.98 Al.upf
ATOMIC_POSITIONS crystal
Tm 0.666 0.500 0.668
Tm 0.333 0.000 0.334
Tm 0.000 0.500 0.000
Tm 0.667 0.000 0.666
Tm 0.334 0.500 0.332
Ho 0.000 0.000 0.000
Al 0.833 0.749 0.335
Al 0.833 0.251 0.335
Al 0.500 0.251 0.000
Al 0.500 0.749 0.000
Al 0.167 0.749 0.665
Al 0.167 0.251 0.665
CELL_PARAMETERS angstrom
4.783 -0.029 1.594
0.038 7.070 0.013
-0.001 -0.014 7.975
```

- DFT total energy (eV/atom) = -4.51
- symmetry = No. 65
- calculated formation energy (kJ/mol of atoms) = -38



TlTe3: optimized geometry, GGA-PBE. Values from VASP.

```
&SYSTEM
  ibrav = 0, nat = 4, ntyp = 2
/
ATOMIC_SPECIES
Tl 204.38 Tl.upf
Te 127.60 Te.upf
ATOMIC_POSITIONS crystal
Tl 0.500 0.000 0.500
Te 0.205 0.205 0.000
Te 0.795 0.795 0.000
Te 0.000 0.500 0.500
CELL_PARAMETERS angstrom
6.416 -0.020 -0.004
2.272 6.001 0.004
-3.657 -3.989 3.447
```

- formation energy (no corrections) (eV per atom) = -0.0316
- DFT total energy (eV/atom) = -2.98
- symmetry = No. 71



Rb2SnBCl: optimized geometry, GGA-PBE. Values from VASP.

```
&SYSTEM
  ibrav = 0, nat = 5, ntyp = 4
/
ATOMIC_SPECIES
B 10.81 B.upf
Sn 118.71 Sn.upf
Rb 85.47 Rb.upf
Cl 35.45 Cl.upf
ATOMIC_POSITIONS crystal
B 0.500 0.500 0.500
Sn 0.000 0.000 0.000
Rb 0.000 0.000 0.500
Rb 0.500 0.000 0.000
Cl 0.000 0.500 0.000
CELL_PARAMETERS angstrom
7.232 0.000 0.000
0.000 5.474 0.000
0.000 0.000 7.232
```

- formation energy (no corrections) (eV per atom) = 0.7902
- DFT total energy (eV/atom) = -2.10
- symmetry = No. 123



Zr2ScGa2: optimized geometry, GGA-PBE. Values from VASP.

```
&SYSTEM
  ibrav = 0, nat = 10, ntyp = 3
/
ATOMIC_SPECIES
Sc 44.96 Sc.upf
Ga 69.72 Ga.upf
Zr 91.22 Zr.upf
ATOMIC_POSITIONS crystal
Sc 0.000 0.000 0.000
Sc 0.500 0.500 0.000
Ga 0.172 0.672 0.500
Ga 0.672 0.828 0.500
Ga 0.828 0.328 0.500
Ga 0.328 0.172 0.500
Zr 0.373 0.873 0.000
Zr 0.873 0.627 0.000
Zr 0.627 0.127 0.000
Zr 0.127 0.373 0.000
CELL_PARAMETERS angstrom
-5.472 -1.715 5.970
4.494 -6.585 2.228
1.567 1.723 1.932
```

- DFT total energy (eV/atom) = -6.15
- symmetry = No. 127
- excess energy over the best structure of this formula in the dataset (eV/f.u.) = 1.44
- calculated formation energy (kJ/mol of atoms) = -25



EuAlAs2: optimized geometry, GGA-PBE. Values from VASP.

```
&SYSTEM
  ibrav = 0, nat = 4, ntyp = 3
/
ATOMIC_SPECIES
Eu 151.96 Eu.upf
As 74.92 As.upf
Al 26.98 Al.upf
ATOMIC_POSITIONS crystal
Eu 0.000 0.000 0.000
As 0.108 0.108 0.677
As 0.892 0.892 0.323
Al 0.500 0.500 0.500
CELL_PARAMETERS angstrom
-0.917 3.327 -0.893
-3.225 0.653 -1.371
-4.723 2.691 7.760
```

- DFT total energy (eV/atom) = -5.89
- symmetry = No. 166
- calculated formation energy (kJ/mol of atoms) = -6



DyPu4Ir4: optimized geometry, GGA-PBE. Values from VASP.

```
&SYSTEM
  ibrav = 0, nat = 18, ntyp = 3
/
ATOMIC_SPECIES
Dy 162.50 Dy.upf
Pu 244.00 Pu.upf
Ir 192.22 Ir.upf
ATOMIC_POSITIONS crystal
Dy 0.000 0.000 0.000
Dy 0.500 0.500 0.500
Pu 0.500 0.310 0.895
Pu 0.000 0.605 0.810
Pu 0.500 0.690 0.105
Pu 0.000 0.190 0.605
Pu 0.500 0.895 0.690
Pu 0.000 0.810 0.395
Pu 0.000 0.395 0.190
Pu 0.500 0.105 0.310
Ir 0.500 0.802 0.390
Ir 0.500 0.198 0.610
Ir 0.000 0.890 0.698
Ir 0.000 0.302 0.890
Ir 0.000 0.698 0.110
Ir 0.500 0.390 0.198
Ir 0.500 0.610 0.802
Ir 0.000 0.110 0.302
CELL_PARAMETERS angstrom
-4.743 -1.125 2.721
4.696 -2.672 7.083
-0.125 8.307 3.217
```

- DFT total energy (eV/atom) = -11.19
- calculated formation energy (kJ/mol of atoms) = -36



Ca5Ge2Sb2: optimized geometry, GGA-PBE. Values from VASP.

```
&SYSTEM
  ibrav = 0, nat = 18, ntyp = 3
/
ATOMIC_SPECIES
Ca 40.08 Ca.upf
Ge 72.64 Ge.upf
Sb 121.76 Sb.upf
ATOMIC_POSITIONS crystal
Ca 0.000 0.000 0.000
Ca 0.500 0.500 0.000
Ca 0.462 0.172 0.726
Ca 0.812 0.828 0.726
Ca 0.312 0.672 0.726
Ca 0.962 0.328 0.726
Ca 0.538 0.828 0.274
Ca 0.188 0.172 0.274
Ca 0.688 0.328 0.274
Ca 0.038 0.672 0.274
Ge 0.109 0.389 0.000
Ge 0.891 0.611 0.000
Ge 0.391 0.889 0.000
Ge 0.609 0.111 0.000
Sb 0.202 0.000 0.596
Sb 0.702 0.500 0.596
Sb 0.798 0.000 0.404
Sb 0.298 0.500 0.404
CELL_PARAMETERS angstrom
7.674 0.000 2.785
0.000 8.058 0.000
1.129 0.000 8.852
```

- formation energy (no corrections) (eV per atom) = -0.7869
- DFT total energy (eV/atom) = -3.84
- symmetry = No. 64



YTi2Pt: optimized geometry, GGA-PBE. Values from VASP.

```
&SYSTEM
  ibrav = 0, nat = 4, ntyp = 3
/
ATOMIC_SPECIES
Y 88.91 Y.upf
Pt 195.08 Pt.upf
Ti 47.87 Ti.upf
ATOMIC_POSITIONS crystal
Y 0.000 0.000 0.000
Pt 0.500 0.500 0.500
Ti 0.250 0.250 0.250
Ti 0.750 0.750 0.750
CELL_PARAMETERS angstrom
4.202 -1.067 1.725
0.354 -2.070 4.167
1.342 -4.460 0.283
```

- DFT total energy (eV/atom) = -7.32
- symmetry = No. 225
- excess energy over the best structure of this formula in the dataset (eV/f.u.) = 1.11
- calculated formation energy (kJ/mol of atoms) = -23



RbYBi2O: optimized geometry, GGA-PBE. Values from VASP.

```
&SYSTEM
  ibrav = 0, nat = 5, ntyp = 4
/
ATOMIC_SPECIES
Y 88.91 Y.upf
O 16.00 O.upf
Bi 208.98 Bi.upf
Rb 85.47 Rb.upf
ATOMIC_POSITIONS crystal
Y 0.000 0.500 0.000
O 0.000 0.000 0.000
Bi 0.000 0.000 0.500
Bi 0.500 0.000 0.000
Rb 0.500 0.500 0.500
CELL_PARAMETERS angstrom
-1.385 -5.544 -0.315
1.958 -0.263 -3.980
4.947 -1.379 2.526
```

- formation energy (no corrections) (eV per atom) = -0.7339
- DFT total energy (eV/atom) = -4.76
- symmetry = No. 123